[1]
! ThCoRh GGA-PBE relaxed; values from VASP
! Formation enthalpy at 0 K = -241 meV per atom
! Electronic total energy = -22.60 eV for the cell shown
&SYSTEM
  ibrav = 0, nat = 3, ntyp = 3
/
ATOMIC_SPECIES
Th 232.04 Th.upf
Co 58.93 Co.upf
Rh 102.91 Rh.upf
CELL_PARAMETERS angstrom
-1.8223 1.8223 4.0953
1.8223 -1.8223 4.0953
1.8223 1.8223 -4.0953
ATOMIC_POSITIONS angstrom
Th 0.0000 0.0000 0.0000
Co 0.0000 0.0000 5.5897
Rh 0.0000 0.0000 2.6928

---

[2]
! ThCo4Rh GGA-PBE relaxed; values from VASP
! Formation enthalpy at 0 K = -115 meV per atom
! Electronic total energy = -43.89 eV for the cell shown
&SYSTEM
  ibrav = 0, nat = 6, ntyp = 3
/
ATOMIC_SPECIES
Th 232.04 Th.upf
Co 58.93 Co.upf
Rh 102.91 Rh.upf
CELL_PARAMETERS angstrom
0.0000 3.5245 3.5245
3.5245 0.0000 3.5245
3.5245 3.5245 0.0000
ATOMIC_POSITIONS angstrom
Th 0.0000 0.0000 0.0000
Co 4.3947 2.6543 2.6543
Co 2.6543 4.3947 2.6543
Co 2.6543 2.6543 4.3947
Co 4.3947 4.3947 4.3947
Rh 1.7623 1.7623 1.7623

---

[3]
! ThCoRh2 GGA-PBE relaxed; values from VASP
! Formation enthalpy at 0 K = -481 meV per atom
! Electronic total energy = -31.15 eV for the cell shown
&SYSTEM
  ibrav = 0, nat = 4, ntyp = 3
/
ATOMIC_SPECIES
Th 232.04 Th.upf
Co 58.93 Co.upf
Rh 102.91 Rh.upf
CELL_PARAMETERS angstrom
4.1514 0.0000 0.0000
0.0000 4.1514 0.0000
0.0000 0.0000 3.9796
ATOMIC_POSITIONS angstrom
Th 0.0000 0.0000 0.0000
Co 2.0757 2.0757 0.0000
Rh 0.0000 2.0757 1.9898
Rh 2.0757 0.0000 1.9898

---

[4]
! ThCo2Rh GGA-PBE relaxed; values from VASP
! Formation enthalpy at 0 K = -260 meV per atom
! Electronic total energy = -30.02 eV for the cell shown
&SYSTEM
  ibrav = 0, nat = 4, ntyp = 3
/
ATOMIC_SPECIES
Th 232.04 Th.upf
Co 58.93 Co.upf
Rh 102.91 Rh.upf
CELL_PARAMETERS angstrom
2.1379 1.2343 4.4404
-2.1379 1.2343 4.4404
0.0000 -2.4686 4.4404
ATOMIC_POSITIONS angstrom
Th 0.0000 0.0000 0.0000
Co 0.0000 0.0000 2.5308
Co 0.0000 0.0000 10.7903
Rh 0.0000 0.0000 6.6605

---

Number 1: spin magnetization 0.00 μB/f.u.. Number 2: spin magnetization 6.53 μB/f.u.. Number 3: spin magnetization 2.08 μB/f.u.. Number 4: spin magnetization 0.64 μB/f.u..